Entry 1:
YMn2Rh: relaxed, GGA-PBEsol.

Unit cell a=3.9037 b=3.9037 c=4.3461 alpha=90.00 beta=90.00 gamma=90.00
Closest atoms and distances in Å follow each position.
Element x y z (fractional)
Rh: 0.5000 0.5000 0.5000  4 Y 2.76, 8 Mn 2.92
Mn: 0.5000 0.0000 0.0000  4 Mn 2.76, 4 Rh 2.92, 4 Y 2.92
Mn: 0.0000 0.5000 0.0000  4 Mn 2.76, 4 Rh 2.92, 4 Y 2.92
Y: 0.0000 0.0000 0.5000  4 Rh 2.76, 8 Mn 2.92

Summary:
formation energy from the elements	0.089	eV per atom

Entry 2:
MnAgO3: relaxed, GGA-PBEsol.

Unit cell a=4.9574 b=4.9574 c=5.8851 alpha=65.09 beta=65.09 gamma=60.00
Closest atoms and distances in Å follow each position.
Element x y z (fractional)
O: 0.4581 0.6855 0.7959  2 Mn 1.83-1.90
O: 0.0605 0.4581 0.7959  2 Mn 1.83-1.90
O: 0.5419 0.3145 0.2041  2 Mn 1.83-1.90
O: 0.9395 0.5419 0.2041  2 Mn 1.83-1.90
O: 0.3145 0.9395 0.2041  2 Mn 1.83-1.90
O: 0.6855 0.0605 0.7959  2 Mn 1.83-1.90
Ag: 0.1389 0.1389 0.5834  6 O 2.21-2.47
Ag: 0.8611 0.8611 0.4166  6 O 2.21-2.47
Mn: 0.6603 0.6603 0.0192  6 O 1.83-1.90
Mn: 0.3397 0.3397 0.9808  6 O 1.83-1.90

Summary:
E_form (uncorrected)	-1.027	eV per atom

Entry 3:
SiTeMo: relaxed, GGA-PBEsol.

Unit cell a=4.4438 b=4.4438 c=4.4438 alpha=60.00 beta=60.00 gamma=60.00
Closest atoms and distances in Å follow each position.
Element x y z (fractional)
Te: 0.7500 0.7500 0.7500  4 Si 2.72, 4 Mo 2.72
Si: 0.5000 0.5000 0.5000  4 Te 2.72
Mo: 0.0000 0.0000 0.0000  4 Te 2.72

Summary:
polymorph energy (0 for the lowest one)	862	meV per atom
E_form (uncorrected)	1.051	eV per atom

Entry 4:
In3PSe: relaxed, GGA-PBEsol.

Unit cell a=5.1582 b=5.1582 c=5.1582 alpha=90.00 beta=90.00 gamma=90.00
Closest atoms and distances in Å follow each position.
Element x y z (fractional)
In: 0.5000 0.0000 0.0000  2 P 2.58
In: 0.0000 0.0000 0.5000  2 P 2.58
In: 0.0000 0.5000 0.0000  2 P 2.58
P: 0.0000 0.0000 0.0000  6 In 2.58
Se: 0.5000 0.5000 0.5000  12 In 3.65

Summary:
E_form (uncorrected)	0.205	eV per atom

Entry 5:
NaLaBi3: relaxed, GGA-PBEsol.

Unit cell a=6.0978 b=6.0978 c=6.0978 alpha=90.00 beta=90.00 gamma=90.00
Closest atoms and distances in Å follow each position.
Element x y z (fractional)
Bi: 0.5000 0.0000 0.0000  2 La 3.05
Bi: 0.0000 0.0000 0.5000  2 La 3.05
Bi: 0.0000 0.5000 0.0000  2 La 3.05
La: 0.0000 0.0000 0.0000  6 Bi 3.05
Na: 0.5000 0.5000 0.5000  12 Bi 4.31

Summary:
formation energy from the elements	0.194	eV per atom

Entry 6:
MgCd2Ag: relaxed, GGA-PBEsol.

Unit cell a=3.1403 b=4.1140 c=5.9197 alpha=90.00 beta=90.03 gamma=90.00
Closest atoms and distances in Å follow each position.
Element x y z (fractional)
Mg: 0.5000 0.5000 0.0000  2 Ag 2.96, 8 Cd 2.99-3.00, 2 Mg 3.14
Cd: 0.9993 0.0000 0.7451  4 Cd 2.90-3.14, 4 Ag 2.97, 4 Mg 2.99-3.00
Cd: 0.0007 0.0000 0.2549  4 Cd 2.90-3.14, 4 Ag 2.97, 4 Mg 2.99-3.00
Ag: 0.5000 0.5000 0.5000  2 Mg 2.96, 8 Cd 2.97, 2 Ag 3.14

Summary:
formation energy from the elements	-0.102	eV per atom
polymorph energy (0 for the lowest one)	16	meV per atom

Entry 7:
EuCO4: relaxed, GGA-PBEsol.

Unit cell a=4.9234 b=7.1840 c=8.2577 alpha=90.00 beta=90.00 gamma=90.00
Closest atoms and distances in Å follow each position.
Element x y z (fractional)
C: 0.0000 0.9648 0.6616  3 O 1.28-1.29
C: 0.0000 0.4648 0.8384  3 O 1.28-1.29
C: 0.5000 0.0351 0.1616  3 O 1.28-1.29
C: 0.5000 0.5351 0.3384  3 O 1.28-1.29
Eu: 0.0000 0.8842 0.3081  2 O 2.14-2.18
Eu: 0.5000 0.6158 0.6919  2 O 2.14-2.18
Eu: 0.5000 0.1158 0.8081  2 O 2.14-2.18
Eu: 0.0000 0.3842 0.1919  2 O 2.14-2.18
O: 0.2728 0.0871 0.0983  1 C 1.29
O: 0.2728 0.5871 0.4017  1 C 1.29
O: 0.0000 0.6770 0.1221  2 Eu 2.14-2.18
O: 0.0000 0.0746 0.7840  1 C 1.28
O: 0.2272 0.9129 0.5983  1 C 1.29
O: 0.2272 0.4129 0.9017  1 C 1.29
O: 0.7728 0.9129 0.5983  1 C 1.29
O: 0.7728 0.4129 0.9017  1 C 1.29
O: 0.0000 0.1770 0.3779  2 Eu 2.14-2.18
O: 0.7272 0.0871 0.0983  1 C 1.29
O: 0.5000 0.3230 0.6221  2 Eu 2.14-2.18
O: 0.5000 0.8230 0.8779  2 Eu 2.14-2.18
O: 0.5000 0.4254 0.2160  1 C 1.28
O: 0.5000 0.9254 0.2840  1 C 1.28
O: 0.0000 0.5746 0.7160  1 C 1.28
O: 0.7272 0.5871 0.4017  1 C 1.29

Summary:
E_form (uncorrected)	-1.788	eV per atom

Entry 8:
LiCaF2: relaxed, GGA-PBEsol.

Unit cell a=5.0257 b=5.0257 c=6.3035 alpha=113.49 beta=113.49 gamma=90.00
Closest atoms and distances in Å follow each position.
Element x y z (fractional)
Ca: 0.2500 0.7500 0.5000  4 F 2.30
Ca: 0.0000 0.0000 0.0000  4 F 2.30
F: 0.8414 0.3750 0.2500  2 Li 2.11, 2 Ca 2.30
F: 0.1250 0.1586 0.7500  2 Li 2.11, 2 Ca 2.30
F: 0.4086 0.8750 0.2500  2 Li 2.11, 2 Ca 2.30
F: 0.6250 0.5914 0.7500  2 Li 2.11, 2 Ca 2.30
Li: 0.7500 0.2500 0.5000  4 F 2.11
Li: 0.5000 0.5000 0.0000  4 F 2.11

Summary:
E_form (uncorrected)	-2.621	eV per atom

Entry 9:
Y2HPtS: relaxed, GGA-PBEsol.

Unit cell a=3.5054 b=4.9127 c=4.9127 alpha=90.00 beta=90.00 gamma=90.00
Closest atoms and distances in Å follow each position.
Element x y z (fractional)
Pt: 0.5000 0.0000 0.0000  2 H 1.75
S: 0.5000 0.5000 0.5000  8 Y 3.02
H: 0.0000 0.0000 0.0000  2 Pt 1.75
Y: 0.0000 0.0000 0.5000  2 H 2.46
Y: 0.0000 0.5000 0.0000  2 H 2.46

Summary:
raw total energy	-6.71	eV/atom

Entry 10:
Sb2Te: relaxed, GGA-PBEsol.

Unit cell a=4.3128 b=6.1297 c=7.0926 alpha=90.00 beta=107.70 gamma=90.00
Closest atoms and distances in Å follow each position.
Element x y z (fractional)
Sb: 0.9910 0.2500 0.9820  4 Sb 3.00-3.07, 2 Te 3.18
Sb: 0.3370 0.2500 0.6740  2 Sb 3.00, 4 Te 3.06-3.18
Sb: 0.0090 0.7500 0.0180  4 Sb 3.00-3.07, 2 Te 3.18
Sb: 0.6630 0.7500 0.3260  2 Sb 3.00, 4 Te 3.06-3.18
Te: 0.3365 0.7500 0.6729  6 Sb 3.06-3.18
Te: 0.6635 0.2500 0.3271  6 Sb 3.06-3.18

Summary:
polymorph energy (0 for the lowest one)	0	meV per atom
E_form (uncorrected)	-0.010	eV per atom

Entry 11:
YCuAu: relaxed, GGA-PBEsol.

Unit cell a=3.5740 b=3.5740 c=5.0578 alpha=110.69 beta=110.69 gamma=90.00
Closest atoms and distances in Å follow each position.
Element x y z (fractional)
Cu: 0.6611 0.6611 0.3223  5 Y 2.87-2.95, 5 Au 2.87-3.01
Y: 0.3339 0.3339 0.6679  5 Cu 2.87-2.95, 5 Au 2.88-2.94
Au: 0.0049 0.0049 0.0098  5 Cu 2.87-3.01, 5 Y 2.88-2.94

Summary:
formation energy from the elements	-0.526	eV per atom

Entry 12:
ZnTe2SeI: relaxed, GGA-PBEsol.

Unit cell a=5.2837 b=5.7759 c=5.7759 alpha=90.00 beta=90.00 gamma=90.00
Closest atoms and distances in Å follow each position.
Element x y z (fractional)
Te: 0.0000 0.0000 0.5000  2 I 2.89
Te: 0.0000 0.5000 0.0000  2 I 2.89
Zn: 0.5000 0.5000 0.5000  8 Te 3.91, 4 Se 4.08
I: 0.0000 0.0000 0.0000  2 Se 2.64, 4 Te 2.89
Se: 0.5000 0.0000 0.0000  2 I 2.64

Summary:
E_form (uncorrected)	0.920	eV per atom

Entry 13:
BeAu3: relaxed, GGA-PBEsol.

Unit cell a=4.4316 b=4.4316 c=4.4316 alpha=60.00 beta=60.00 gamma=60.00
Closest atoms and distances in Å follow each position.
Element x y z (fractional)
Au: 0.7500 0.7500 0.7500  4 Be 2.71, 4 Au 2.71
Au: 0.2500 0.2500 0.2500  4 Au 2.71, 4 Be 2.71
Au: 0.5000 0.5000 0.5000  8 Au 2.71
Be: 0.0000 0.0000 0.0000  8 Au 2.71

Summary:
formation energy from the elements	0.068	eV per atom

Entry 14:
Na3GaP2O8: relaxed, GGA-PBEsol.

Unit cell a=8.8195 b=8.9012 c=9.2508 alpha=89.28 beta=70.93 gamma=88.03
Closest atoms and distances in Å follow each position.
Element x y z (fractional)
Na: 0.0547 0.5766 0.8200  4 O 2.25-2.37
Na: 0.6586 0.7518 0.8837  4 O 2.31-2.40
Na: 0.6929 0.0906 0.9323  5 O 2.24-2.46
Na: 0.9453 0.4234 0.1800  4 O 2.25-2.37
Na: 0.3516 0.7612 0.6823  5 O 2.34-2.60
Na: 0.3414 0.2482 0.1163  4 O 2.31-2.40
Na: 0.0752 0.1670 0.8870  4 O 2.31-2.58
Na: 0.1020 0.7033 0.4104  5 O 2.27-2.53
Na: 0.6484 0.2388 0.3177  5 O 2.34-2.60
Na: 0.3071 0.9094 0.0677  5 O 2.24-2.46
Na: 0.9248 0.8330 0.1130  4 O 2.31-2.58
Na: 0.8980 0.2967 0.5896  5 O 2.27-2.53
O: 0.9018 0.2218 0.3466  1 P 1.52
O: 0.0365 0.0598 0.6436  1 P 1.59
O: 0.3180 0.0291 0.6945  1 P 1.56
O: 0.6892 0.3428 0.8407  1 P 1.57
O: 0.9635 0.9402 0.3564  1 P 1.59
O: 0.5480 0.4137 0.1144  1 P 1.59
O: 0.3800 0.9109 0.4110  1 P 1.56
O: 0.6820 0.9709 0.3055  1 P 1.56
O: 0.8991 0.9174 0.8848  1 P 1.54
O: 0.3723 0.4865 0.6494  1 P 1.55
O: 0.5727 0.7654 0.1903  1 P 1.56
O: 0.1127 0.3830 0.6432  1 P 1.52
O: 0.4985 0.9621 0.8465  1 P 1.52
O: 0.8225 0.2836 0.0347  1 P 1.54
O: 0.2957 0.5193 0.4131  1 P 1.57
O: 0.6200 0.0891 0.5890  1 P 1.56
O: 0.4520 0.5863 0.8856  1 P 1.59
O: 0.3108 0.6572 0.1593  1 P 1.57
O: 0.7043 0.4807 0.5869  1 P 1.57
O: 0.4273 0.2346 0.8097  1 P 1.56
O: 0.6277 0.5135 0.3506  1 P 1.55
O: 0.8236 0.8674 0.6551  1 P 1.56
O: 0.3741 0.2576 0.4807  1 P 1.57
O: 0.1009 0.0826 0.1152  1 P 1.54
O: 0.6259 0.7424 0.5193  1 P 1.57
O: 0.8873 0.6170 0.3568  1 P 1.52
O: 0.1775 0.7164 0.9653  1 P 1.54
O: 0.1764 0.1326 0.3449  1 P 1.56
O: 0.5015 0.0379 0.1535  1 P 1.52
O: 0.0982 0.7782 0.6534  1 P 1.52
O: 0.2048 0.4417 0.0380  1 P 1.52
O: 0.7952 0.5583 0.9620  1 P 1.52
Ga: 0.2530 0.0789 0.5127  5 O 1.90-1.99
Ga: 0.7470 0.9211 0.4873  5 O 1.90-1.99
Ga: 0.5245 0.4220 0.7526  5 O 1.88-1.99
Ga: 0.4755 0.5780 0.2474  5 O 1.88-1.99
P: 0.2866 0.4096 0.5491  4 O 1.52-1.57
P: 0.5320 0.9239 0.2656  4 O 1.52-1.56
P: 0.0313 0.0985 0.2898  4 O 1.52-1.59
P: 0.7203 0.4047 0.9864  4 O 1.52-1.59
P: 0.7134 0.5904 0.4509  4 O 1.52-1.57
P: 0.2797 0.5953 0.0136  4 O 1.52-1.59
P: 0.9687 0.9015 0.7102  4 O 1.52-1.59
P: 0.4680 0.0761 0.7344  4 O 1.52-1.56

Summary:
E_form (uncorrected)	-2.208	eV per atom

Entry 15:
OsAu2Cl: relaxed, GGA-PBEsol.

Unit cell a=4.5896 b=4.5896 c=4.5896 alpha=60.00 beta=60.00 gamma=60.00
Closest atoms and distances in Å follow each position.
Element x y z (fractional)
Au: 0.7500 0.7500 0.7500  4 Cl 2.81, 4 Os 2.81
Au: 0.2500 0.2500 0.2500  4 Cl 2.81, 4 Os 2.81
Os: 0.5000 0.5000 0.5000  8 Au 2.81
Cl: 0.0000 0.0000 0.0000  8 Au 2.81

Summary:
polymorph energy (0 for the lowest one)	618	meV per atom
E_form (uncorrected)	1.188	eV per atom

Entry 16:
KAlRe: relaxed, GGA-PBEsol.

Unit cell a=2.6652 b=4.9453 c=4.9453 alpha=120.00 beta=90.00 gamma=90.00
Closest atoms and distances in Å follow each position.
Element x y z (fractional)
Al: 0.1116 0.0000 0.0000  2 Al 2.67, 3 Re 2.88
K: 0.6419 0.3333 0.6667  2 K 2.67
Re: 0.2466 0.6667 0.3333  2 Re 2.67, 3 Al 2.88

Summary:
formation energy from the elements	1.185	eV per atom
polymorph energy (0 for the lowest one)	488	meV per atom

Entry 17:
SbAsBr2: relaxed, GGA-PBEsol.

Unit cell a=3.3692 b=3.4499 c=9.8354 alpha=90.00 beta=90.00 gamma=119.23
Closest atoms and distances in Å follow each position.
Element x y z (fractional)
As: 0.5000 0.0000 0.7539  2 Br 2.66, 2 Sb 2.96
Br: 0.0000 0.0000 0.9638  2 As 2.66
Br: 0.5000 0.0000 0.2755  2 Sb 2.83
Sb: 0.0000 0.0000 0.5068  2 Br 2.83, 2 As 2.96

Summary:
polymorph energy (0 for the lowest one)	0	meV per atom
E_form (uncorrected)	0.142	eV per atom

Entry 18:
ErB12: relaxed, GGA-PBEsol.

Unit cell a=5.2606 b=5.2606 c=5.2606 alpha=60.00 beta=60.00 gamma=60.00
Closest atoms and distances in Å follow each position.
Element x y z (fractional)
B: 0.1622 0.5000 0.8378  5 B 1.71-1.78
B: 0.5000 0.8378 0.1622  5 B 1.71-1.78
B: 0.5000 0.8378 0.5000  5 B 1.71-1.78
B: 0.5000 0.5000 0.8378  5 B 1.71-1.78
B: 0.8378 0.5000 0.1622  5 B 1.71-1.78
B: 0.1622 0.5000 0.5000  5 B 1.71-1.78
B: 0.8378 0.5000 0.5000  5 B 1.71-1.78
B: 0.5000 0.5000 0.1622  5 B 1.71-1.78
B: 0.8378 0.1622 0.5000  5 B 1.71-1.78
B: 0.5000 0.1622 0.8378  5 B 1.71-1.78
B: 0.1622 0.8378 0.5000  5 B 1.71-1.78
B: 0.5000 0.1622 0.5000  5 B 1.71-1.78
Er: 0.0000 0.0000 0.0000  24 B 2.77

Summary:
formation energy from the elements	-0.285	eV per atom

Entry 19:
ScAu3: relaxed, GGA-PBEsol.

Unit cell a=4.2108 b=4.2108 c=8.4562 alpha=104.42 beta=104.42 gamma=90.00
Closest atoms and distances in Å follow each position.
Element x y z (fractional)
Au: 0.5000 0.0000 0.0000  8 Au 2.87-2.98, 4 Sc 2.93
Au: 0.0000 0.5000 0.0000  8 Au 2.87-2.98, 4 Sc 2.93
Au: 0.8770 0.8770 0.7540  8 Au 2.87-2.91, 4 Sc 2.98
Au: 0.1230 0.1230 0.2460  8 Au 2.87-2.91, 4 Sc 2.98
Au: 0.2500 0.7500 0.5000  4 Sc 2.85, 8 Au 2.91-2.98
Au: 0.7500 0.2500 0.5000  4 Sc 2.85, 8 Au 2.91-2.98
Sc: 0.6286 0.6286 0.2572  12 Au 2.85-2.98
Sc: 0.3714 0.3714 0.7428  12 Au 2.85-2.98

Summary:
formation energy from the elements	-0.577	eV per atom

Entry 20:
TcAgPS2: relaxed, GGA-PBEsol.

Unit cell a=4.6777 b=4.6908 c=4.6908 alpha=90.00 beta=90.00 gamma=90.00
Closest atoms and distances in Å follow each position.
Element x y z (fractional)
S: 0.0000 0.0000 0.5000  2 Ag 2.35
S: 0.0000 0.5000 0.0000  2 Ag 2.35
P: 0.5000 0.0000 0.0000  2 Ag 2.34
Ag: 0.0000 0.0000 0.0000  2 P 2.34, 4 S 2.35
Tc: 0.5000 0.5000 0.5000  8 S 3.31, 4 P 3.32

Summary:
E_form (uncorrected)	1.440	eV per atom

Number 1: magnetization 7.7 μB per formula unit. Number 2: magnetization 2.0 μB per formula unit. Number 3: magnetization 0.0 μB per formula unit. Number 4: magnetization 0.0 μB per formula unit. Number 5: magnetization 0.0 μB per formula unit. Number 6: magnetization 0.0 μB per formula unit. Number 7: magnetization 5.0 μB per formula unit. Number 8: magnetization 0.0 μB per formula unit. Number 9: magnetization 0.0 μB per formula unit. Number 10: magnetization 0.0 μB per formula unit. Number 11: magnetization 0.0 μB per formula unit. Number 12: magnetization 0.0 μB per formula unit. Number 13: magnetization 0.0 μB per formula unit. Number 14: magnetization 0.0 μB per formula unit. Number 15: magnetization 2.5 μB per formula unit. Number 16: magnetization 0.0 μB per formula unit. Number 17: magnetization 0.0 μB per formula unit. Number 18: magnetization 0.0 μB per formula unit. Number 19: magnetization 0.0 μB per formula unit. Number 20: magnetization 3.4 μB per formula unit.